This record from Alexandria via LeMat-Bulk describes an optimized crystal structure of Nd3Er7Tm2. The functional is GGA-PBE.

Symmetry: R-3m (166)
ΔH_f (0 K) in kJ/mol of atoms: 28
ρ in g/cm3: 7.9

a = 11.8799 Å, b = 11.8799 Å, c = 11.8799 Å
α = 31.52°, β = 31.52°, γ = 31.52°
Last column: nearest neighbours and their distance in Å.
Fractional positions:
Nd 0.0000 0.0000 0.0000  6 Tm 3.73
Nd 0.1565 0.1565 0.1565  12 Er 3.67-4.06, 3 Nd 3.79
Nd 0.8435 0.8435 0.8435  12 Er 3.67-4.06, 3 Nd 3.79
Er 0.0827 0.5838 0.5838  5 Er 3.22-3.38, 2 Tm 3.38-3.39
Er 0.4162 0.4162 0.9173  5 Er 3.22-3.38, 2 Tm 3.38-3.39
Er 0.4162 0.9173 0.4162  5 Er 3.22-3.38, 2 Tm 3.38-3.39
Er 0.5000 0.5000 0.5000  6 Er 3.38, 6 Nd 3.74
Er 0.5838 0.0827 0.5838  5 Er 3.22-3.38, 2 Tm 3.38-3.39
Er 0.5838 0.5838 0.0827  5 Er 3.22-3.38, 2 Tm 3.38-3.39
Er 0.9173 0.4162 0.4162  5 Er 3.22-3.38, 2 Tm 3.38-3.39
Tm 0.3332 0.3332 0.3332  6 Er 3.38-3.39, 3 Nd 3.73, 3 Tm 3.73
Tm 0.6668 0.6668 0.6668  6 Er 3.38-3.39, 3 Nd 3.73, 3 Tm 3.73